Density functional theory data (PBEsol) for an optimized crystal structure of Sc3CrH.

As for the total energy: -6.6246 eV per atom. For the magnetic moment, the calculation gives 2.045 μB per cell.

a = 4.3624 Å, b = 4.3624 Å, c = 4.3624 Å
α = 90.00°, β = 90.00°, γ = 90.00°
With the nearest neighbours (Å) after each atom.
Space group Pm-3m (No. 221)
One atom of each set of equivalent atoms:
Sc 0.0000 0.0000 0.5000 [3 per cell]  2 H 2.18
Cr 0.5000 0.5000 0.5000 [1 per cell]  12 Sc 3.08
H 0.0000 0.0000 0.0000 [1 per cell]  6 Sc 2.18


Density functional theory data (PBEsol) for an optimized crystal structure of FeAuBr3.

As for the total energy: -3.4109 eV per atom. For the magnetic moment, the calculation gives 3.466 μB per cell. The value obtained for the uncorrected formation energy is 0.289 eV/atom.

a = 4.9047 Å, b = 4.9047 Å, c = 4.9047 Å
α = 90.00°, β = 90.00°, γ = 90.00°
With the nearest neighbours (Å) after each atom.
Space group Pm-3m (No. 221)
One atom of each set of equivalent atoms:
Fe 0.0000 0.0000 0.0000 [1 per cell]  6 Br 2.45
Au 0.5000 0.5000 0.5000 [1 per cell]  12 Br 3.47
Br 0.0000 0.0000 0.5000 [3 per cell]  2 Fe 2.45


Density functional theory data (PBEsol) for an optimized crystal structure of HfIn2Os.

As for the total energy: -7.0233 eV per atom. For the magnetic moment, the calculation gives 0.000 μB per cell. Its formation enthalpy at 0 K is 0.1479 eV per atom.

a = 6.6138 Å, b = 6.6138 Å, c = 6.6138 Å
α = 90.00°, β = 90.00°, γ = 90.00°
With the nearest neighbours (Å) after each atom.
Space group Fm-3m (No. 225)
One atom of each set of equivalent atoms:
Hf 0.0000 0.0000 0.0000 [4 per cell]  8 In 2.86
In 0.2500 0.2500 0.2500 [8 per cell]  4 Hf 2.86, 4 Os 2.86
Os 0.0000 0.0000 0.5000 [4 per cell]  8 In 2.86